PrSnBi2, optimized geometry, DFT PBE-GGA; symmetry = P4/mmm
1.0
5.011 0.000 0.000
0.000 5.011 0.000
0.000 0.000 4.834
Pr Sn Bi
1 1 2
direct
0.000 0.000 0.000
0.500 0.500 0.000
0.000 0.500 0.500
0.500 0.000 0.500

Pr8Sn3Bi2, optimized geometry, DFT PBE-GGA; symmetry = C2/m
1.0
8.237 -4.375 0.000
8.237 4.375 0.000
-2.413 0.000 7.407
Pr Sn Bi
8 3 2
direct
0.089 0.089 0.318
0.135 0.640 0.096
0.360 0.865 0.904
0.388 0.388 0.585
0.612 0.612 0.415
0.640 0.135 0.096
0.865 0.360 0.904
0.911 0.911 0.682
0.239 0.761 0.500
0.500 0.500 0.000
0.761 0.239 0.500
0.252 0.252 0.164
0.748 0.748 0.836

Pr4Sn2Bi, optimized geometry, DFT PBE-GGA; symmetry = R-3m
1.0
2.369 1.368 12.977
-2.369 1.368 12.977
0.000 -2.736 12.977
Pr Sn Bi
4 2 1
direct
0.119 0.119 0.119
0.300 0.300 0.300
0.700 0.700 0.700
0.881 0.881 0.881
0.404 0.404 0.404
0.596 0.596 0.596
0.500 0.500 0.500

Pr4SnBi3, optimized geometry, DFT PBE-GGA; symmetry = Pm-3m
1.0
6.534 0.000 0.000
0.000 6.534 0.000
0.000 0.000 6.534
Pr Sn Bi
4 1 3
direct
0.000 0.000 0.000
0.000 0.500 0.500
0.500 0.000 0.500
0.500 0.500 0.000
0.500 0.500 0.500
0.000 0.000 0.500
0.000 0.500 0.000
0.500 0.000 0.000

Total DFT energy (no corrections) list, top to bottom, in eV/atom: -4.588; -4.862; -5.014; -5.207